Record 1
A plane-wave DFT calculation with PBE was carried out for NbIn3Mo after structural relaxation.

Cell: 5.193 5.193 5.193 Å, 90.00 90.00 90.00°
Last column: magnetic moment on the atom in μB.
Sites, in units of the cell vectors:
In  0.500  0.000  0.000  0.01
In  0.000  0.000  0.500  -0.06
Mo  0.000  0.000  0.000  -0.88
Nb  0.500  0.500  0.500  2.63
In  0.000  0.500  0.000  -0.04

Calculated values
magnetic moment = 2.30 μB per formula unit
E_form = 5.84 eV per formula unit
excess energy over the best structure of this formula in the dataset = 0.0000 eV/atom
crystal system = cubic
E = -4.6547 eV per atom

Record 2
A plane-wave DFT calculation with PBE was carried out for CaReIrCl2 after structural relaxation.

Cell: 4.898 6.020 4.898 Å, 90.00 90.00 90.00°
Last column: magnetic moment on the atom in μB.
Sites, in units of the cell vectors:
Cl  0.500  0.000  0.000  0.02
Ca  0.000  0.000  0.000  0.01
Re  0.500  0.500  0.500  3.97
Cl  0.000  0.000  0.500  0.03
Ir  0.000  0.500  0.000  -1.06

Calculated values
magnetic moment = 3.84 μB per formula unit
crystal system = tetragonal
E = -4.3259 eV per atom

Record 3
A plane-wave DFT calculation with PBE was carried out for Mn2BeNbGe after structural relaxation.

Cell: 3.939 4.351 3.939 Å, 90.00 90.00 90.00°
Sites, in units of the cell vectors:
Mn  0.000  0.000  0.500
Ge  0.500  0.500  0.500
Mn  0.500  0.000  0.000
Nb  0.000  0.500  0.000
Be  0.000  0.000  0.000

Calculated values
magnetic moment = 0.00 μB per formula unit
E_form = 2.85 eV per formula unit
crystal system = tetragonal
E = -6.7814 eV per atom

Record 4
A plane-wave DFT calculation with PBE was carried out for La5Cd4Ge after structural relaxation.

Cell: 3.950 3.950 18.968 Å, 90.00 90.00 90.00°
Last column: magnetic moment on the atom in μB.
Sites, in units of the cell vectors:
Cd  0.000  0.000  0.396  0.00
La  0.500  0.500  0.082  0.00
Ge  0.000  0.000  0.000  0.00
La  0.500  0.500  0.918  0.00
La  0.500  0.500  0.293  -0.06
Cd  0.000  0.000  0.192  0.00
Cd  0.000  0.000  0.808  0.00
Cd  0.000  0.000  0.604  0.00
La  0.500  0.500  0.707  -0.06
La  0.500  0.500  0.500  0.05

Calculated values
magnetic moment = 0.19 μB per formula unit
E_form = -4.15 eV per formula unit
crystal system = tetragonal
E = -3.7061 eV per atom

Record 5
A plane-wave DFT calculation with PBE was carried out for Tl2CrW2 after structural relaxation.

Cell: 3.709 3.709 8.063 Å, 76.70 76.70 90.00°
Last column: magnetic moment on the atom in μB.
Sites, in units of the cell vectors:
Tl  0.401  0.401  0.198  -0.05
Tl  0.599  0.599  0.802  -0.05
Cr  0.000  0.000  0.000  3.72
W  0.750  0.250  0.500  -0.04
W  0.250  0.750  0.500  -0.04

Calculated values
magnetic moment = 3.82 μB per formula unit
E_form = 5.39 eV per formula unit
excess energy over the best structure of this formula in the dataset = 0.0000 eV/atom
crystal system = tetragonal
E = -6.9736 eV per atom

Record 6
A plane-wave DFT calculation with PBE was carried out for Ho2Tm5CdTc2 after structural relaxation.

Cell: 4.035 11.309 11.309 Å, 90.00 90.00 90.00°
Sites, in units of the cell vectors:
Tm  0.500  0.211  0.072
Tc  0.000  0.376  0.124
Tm  0.500  0.289  0.572
Tm  0.500  0.789  0.928
Tc  0.000  0.624  0.876
Tc  0.000  0.124  0.624
Tm  0.500  0.572  0.711
Tm  0.500  0.711  0.428
Ho  0.000  0.327  0.827
Ho  0.000  0.827  0.673
Cd  0.000  0.000  0.000
Ho  0.000  0.673  0.173
Tm  0.500  0.500  0.000
Tm  0.500  0.072  0.789
Tc  0.000  0.876  0.376
Ho  0.000  0.173  0.327
Tm  0.500  0.000  0.500
Cd  0.000  0.500  0.500
Tm  0.500  0.428  0.289
Tm  0.500  0.928  0.211

Calculated values
magnetic moment = 0.00 μB per formula unit
E_form = -1.26 eV per formula unit
crystal system = tetragonal
E = -5.4423 eV per atom

Number 1: volume 28.010 Å³ per atom. Number 2: volume 28.887 Å³ per atom. Number 3: volume 13.499 Å³ per atom. Number 4: volume 29.595 Å³ per atom. Number 5: volume 20.981 Å³ per atom. Number 6: volume 25.805 Å³ per atom.